{
  "formula": "BiTeSe3",
  "functional": "PBE",
  "state": "optimized geometry",
  "cell": [[-0.500, 0.769, -4.271], [5.276, -4.646, -1.454], [-8.452, -6.490, -0.181]],
  "species": ["Bi", "Bi", "Te", "Te", "Se", "Se", "Se", "Se", "Se", "Se"],
  "fractional_positions": [[0.250, 0.732, 0.986], [0.750, 0.268, 0.014], [0.250, 0.888, 0.348], [0.750, 0.112, 0.652], [0.250, 0.061, 0.838], [0.750, 0.939, 0.162], [0.250, 0.469, 0.162], [0.750, 0.531, 0.838], [0.250, 0.215, 0.482], [0.750, 0.785, 0.518]],
  "de_polymorph_ev_per_atom": 0.0000,
  "n_ef_per_ev_fu": 2.1,
  "energy_ev_per_atom": -3.6098
}

***

{
  "formula": "BiTeSe",
  "functional": "PBE",
  "state": "optimized geometry",
  "cell": [[-4.015, -3.092, -1.903], [2.514, -3.606, 0.555], [-2.630, 1.394, 3.282]],
  "species": ["Te", "Bi", "Se"],
  "fractional_positions": [[0.676, 0.667, 0.333], [0.013, 0.000, 0.000], [0.311, 0.333, 0.667]],
  "de_polymorph_ev_per_atom": 0.1151,
  "n_ef_per_ev_fu": 2.3,
  "energy_ev_per_atom": -3.6242
}

***

{
  "formula": "Th4Bi2TeSe",
  "functional": "PBE",
  "state": "optimized geometry",
  "cell": [[-3.698, -2.235, 1.258], [4.357, -5.531, 2.982], [1.572, 1.612, 7.483]],
  "species": ["Th", "Th", "Th", "Th", "Bi", "Bi", "Te", "Se"],
  "fractional_positions": [[0.000, 0.720, 0.773], [0.000, 0.280, 0.227], [0.500, 0.727, 0.242], [0.500, 0.273, 0.758], [0.000, 0.000, 0.000], [0.500, 0.000, 0.500], [0.000, 0.500, 0.500], [0.500, 0.500, 0.000]],
  "n_ef_per_ev_fu": 6.8,
  "energy_ev_per_atom": -6.4205
}

***

{
  "formula": "Th6Bi3TeSe2",
  "functional": "PBE",
  "state": "optimized geometry",
  "cell": [[7.731, 0.000, 0.001], [-3.864, 6.696, 0.001], [-1.289, -2.231, 7.209]],
  "species": ["Th", "Th", "Th", "Th", "Th", "Th", "Bi", "Bi", "Bi", "Te", "Se", "Se"],
  "fractional_positions": [[0.924, 0.574, 0.775], [0.719, 0.719, 0.214], [0.076, 0.426, 0.225], [0.574, 0.924, 0.775], [0.281, 0.281, 0.786], [0.426, 0.076, 0.225], [0.157, 0.843, 0.500], [0.843, 0.157, 0.500], [0.500, 0.500, 0.500], [0.000, 0.000, 0.000], [0.330, 0.670, 0.000], [0.670, 0.330, 0.000]],
  "n_ef_per_ev_fu": 10.7,
  "energy_ev_per_atom": -6.4843
}

***

{
  "formula": "TlBiTeSe",
  "functional": "PBE",
  "state": "optimized geometry",
  "cell": [[-1.116, 1.263, -4.196], [-1.119, -4.268, -0.987], [-5.833, 1.094, 1.881]],
  "species": ["Tl", "Bi", "Te", "Se"],
  "fractional_positions": [[0.000, 0.000, 0.000], [0.500, 0.500, 0.500], [0.000, 0.000, 0.500], [0.500, 0.500, 0.000]],
  "de_polymorph_ev_per_atom": 0.1516,
  "n_ef_per_ev_fu": 1.8,
  "energy_ev_per_atom": -3.4257
}

***

{
  "formula": "Tl2BiTeSe4",
  "functional": "PBE",
  "state": "optimized geometry",
  "cell": [[4.214, 0.000, 0.000], [0.000, 7.755, -0.150], [0.000, 2.734, 7.384]],
  "species": ["Tl", "Tl", "Bi", "Te", "Se", "Se", "Se", "Se"],
  "fractional_positions": [[0.000, 0.000, 0.000], [0.500, 0.000, 0.500], [0.000, 0.500, 0.500], [0.500, 0.500, 0.000], [0.000, 0.700, 0.775], [0.000, 0.300, 0.225], [0.500, 0.734, 0.279], [0.500, 0.266, 0.721]],
  "n_ef_per_ev_fu": 1.8,
  "energy_ev_per_atom": -3.4792
}

***

{
  "formula": "Tl2Bi2Te3Se",
  "functional": "PBE",
  "state": "optimized geometry",
  "cell": [[-2.147, 7.649, -0.658], [-0.660, 2.061, -7.673], [-2.979, -6.061, 4.237]],
  "species": ["Tl", "Tl", "Bi", "Bi", "Te", "Te", "Te", "Se"],
  "fractional_positions": [[0.497, 0.997, 0.500], [0.244, 0.244, 0.000], [0.997, 0.497, 0.500], [0.763, 0.763, 0.000], [0.761, 0.261, 0.500], [0.514, 0.514, 0.000], [0.238, 0.738, 0.500], [0.983, 0.983, 0.000]],
  "n_ef_per_ev_fu": 2.0,
  "energy_ev_per_atom": -3.4315
}

***

{
  "formula": "TlBiTeSe",
  "functional": "PBE",
  "state": "optimized geometry",
  "cell": [[4.381, 0.000, -0.001], [-2.190, 3.794, 0.000], [-2.191, -1.265, 8.122]],
  "species": ["Tl", "Bi", "Te", "Se"],
  "fractional_positions": [[0.977, 0.387, 0.379], [0.294, 0.545, 0.854], [0.114, 0.955, 0.084], [0.493, 0.144, 0.653]],
  "de_polymorph_ev_per_atom": 0.0000,
  "n_ef_per_ev_fu": 0.0,
  "energy_ev_per_atom": -3.5773
}

***

{
  "formula": "Tm4Bi2TeSe",
  "functional": "PBE",
  "state": "optimized geometry",
  "cell": [[-1.113, -3.699, 1.922], [5.833, -3.374, -3.116], [5.927, 0.558, 4.504]],
  "species": ["Tm", "Tm", "Tm", "Tm", "Bi", "Bi", "Te", "Se"],
  "fractional_positions": [[0.000, 0.734, 0.766], [0.000, 0.266, 0.234], [0.500, 0.741, 0.242], [0.500, 0.259, 0.758], [0.000, 0.000, 0.000], [0.500, 0.000, 0.500], [0.000, 0.500, 0.500], [0.500, 0.500, 0.000]],
  "n_ef_per_ev_fu": 3.4,
  "energy_ev_per_atom": -5.1177
}

***

{
  "formula": "UBiTe2Se",
  "functional": "PBE",
  "state": "optimized geometry",
  "cell": [[4.518, 0.000, 0.000], [0.000, 4.518, 0.000], [0.000, 0.000, 15.114]],
  "species": ["U", "U", "Bi", "Bi", "Te", "Te", "Te", "Te", "Se", "Se"],
  "fractional_positions": [[0.500, 0.000, 0.620], [0.000, 0.500, 0.380], [0.500, 0.000, 0.105], [0.000, 0.500, 0.895], [0.000, 0.500, 0.696], [0.000, 0.500, 0.118], [0.500, 0.000, 0.882], [0.500, 0.000, 0.304], [0.000, 0.000, 0.500], [0.500, 0.500, 0.500]],
  "n_ef_per_ev_fu": 11.3,
  "energy_ev_per_atom": -5.4880
}

***

{
  "formula": "BiTe2WSe",
  "functional": "PBE",
  "state": "optimized geometry",
  "cell": [[-2.956, 2.672, 3.528], [-3.454, -4.327, 0.383], [2.936, -1.992, 3.967]],
  "species": ["Te", "Te", "Se", "Bi", "W"],
  "fractional_positions": [[0.000, 0.000, 0.500], [0.500, 0.000, 0.000], [0.000, 0.000, 0.000], [0.000, 0.500, 0.000], [0.500, 0.500, 0.500]],
  "n_ef_per_ev_fu": 4.2,
  "energy_ev_per_atom": -3.8124
}

***

{
  "formula": "Y4Bi2TeSe",
  "functional": "PBE",
  "state": "optimized geometry",
  "cell": [[-1.071, -3.399, 2.522], [1.675, -4.709, -5.634], [7.287, -1.977, 0.429]],
  "species": ["Y", "Y", "Y", "Y", "Bi", "Bi", "Te", "Se"],
  "fractional_positions": [[0.000, 0.735, 0.765], [0.000, 0.265, 0.235], [0.500, 0.743, 0.243], [0.500, 0.257, 0.757], [0.000, 0.000, 0.000], [0.500, 0.000, 0.500], [0.000, 0.500, 0.500], [0.500, 0.500, 0.000]],
  "n_ef_per_ev_fu": 3.7,
  "energy_ev_per_atom": -6.2358
}

***

Please write out number 1 again, unchanged.
{
  "formula": "BiTeSe3",
  "functional": "PBE",
  "state": "optimized geometry",
  "cell": [[-0.500, 0.769, -4.271], [5.276, -4.646, -1.454], [-8.452, -6.490, -0.181]],
  "species": ["Bi", "Bi", "Te", "Te", "Se", "Se", "Se", "Se", "Se", "Se"],
  "fractional_positions": [[0.250, 0.732, 0.986], [0.750, 0.268, 0.014], [0.250, 0.888, 0.348], [0.750, 0.112, 0.652], [0.250, 0.061, 0.838], [0.750, 0.939, 0.162], [0.250, 0.469, 0.162], [0.750, 0.531, 0.838], [0.250, 0.215, 0.482], [0.750, 0.785, 0.518]],
  "de_polymorph_ev_per_atom": 0.0000,
  "n_ef_per_ev_fu": 2.1,
  "energy_ev_per_atom": -3.6098
}